(1)
VASP calculation (PBE) on MoIr2Rh6 after structural relaxation.

Cell and atoms, written as CIF:
```
data_MoIr2Rh6
_chemical_formula_sum 'Mo2 Ir4 Rh12'
_cell_length_a 8.653
_cell_length_b 3.857
_cell_length_c 8.195
_cell_angle_alpha 90.00
_cell_angle_beta 108.66
_cell_angle_gamma 90.00
_symmetry_space_group_name_H-M 'C 1 2/m 1'
_symmetry_Int_Tables_number 12
loop_
_symmetry_equiv_pos_as_xyz
'x,y,z'
'-x,-y,-z'
'-x,y,-z'
'x,-y,z'
'x+1/2,y+1/2,z'
'-x+1/2,-y+1/2,-z'
'-x+1/2,y+1/2,-z'
'x+1/2,-y+1/2,z'
loop_
_atom_site_label
_atom_site_fract_x
_atom_site_fract_y
_atom_site_fract_z
Mo1 0.000 0.000 0.000
Ir1 0.164 0.500 0.222
Rh1 0.001 0.000 0.672
Rh2 0.164 0.500 0.551
Rh3 0.167 0.500 0.891
```

Computed properties:
**Energy of formation from the pure elements**: -108.4 meV/atom
**Relative energy among the computed polymorphs**: 0.000 eV/atom

=====

(2)
VASP calculation (PBE) on LiZr3Mo after structural relaxation.

Cell and atoms, written as CIF:
```
data_LiZr3Mo
_chemical_formula_sum 'Li1 Zr3 Mo1'
_cell_length_a 4.634
_cell_length_b 4.634
_cell_length_c 4.634
_cell_angle_alpha 90.00
_cell_angle_beta 90.00
_cell_angle_gamma 90.00
_symmetry_space_group_name_H-M 'P m -3 m'
_symmetry_Int_Tables_number 221
_symmetry_space_group_name_Hall '-P 4 2 3'
loop_
_atom_site_label
_atom_site_fract_x
_atom_site_fract_y
_atom_site_fract_z
Li1 0.000 0.000 0.000
Zr1 0.000 0.000 0.500
Mo1 0.500 0.500 0.500
```

Computed properties:
**Energy of formation from the pure elements**: 1009.9 meV/atom
**Relative energy among the computed polymorphs**: 0.298 eV/atom

=====

(3)
VASP calculation (PBE) on NaAcPO4 after structural relaxation.

Cell and atoms, written as CIF:
```
data_NaAcPO4
_chemical_formula_sum 'Na4 Ac4 P4 O16'
_cell_length_a 6.309
_cell_length_b 7.447
_cell_length_c 9.086
_cell_angle_alpha 90.00
_cell_angle_beta 90.00
_cell_angle_gamma 90.00
_symmetry_space_group_name_H-M 'I m m a'
_symmetry_Int_Tables_number 74
_symmetry_space_group_name_Hall '-I 2b 2'
loop_
_atom_site_label
_atom_site_fract_x
_atom_site_fract_y
_atom_site_fract_z
Na1 0.250 0.250 0.250
Ac1 0.000 0.000 0.000
P1 0.000 0.250 0.629
O1 0.000 0.076 0.724
O2 0.202 0.250 0.526
```

Computed properties:
**Formation energy without anion corrections**: -2.356 eV/atom

=====

(4)
VASP calculation (PBE) on TmPb after structural relaxation.

Cell and atoms, written as CIF:
```
data_TmPb
_chemical_formula_sum 'Tm4 Pb4'
_cell_length_a 6.231
_cell_length_b 6.231
_cell_length_c 6.231
_cell_angle_alpha 90.00
_cell_angle_beta 90.00
_cell_angle_gamma 90.00
_symmetry_space_group_name_H-M 'F m -3 m'
_symmetry_Int_Tables_number 225
_symmetry_space_group_name_Hall '-F 4 2 3'
loop_
_atom_site_label
_atom_site_fract_x
_atom_site_fract_y
_atom_site_fract_z
Tm1 0.000 0.000 0.000
Pb1 0.000 0.000 0.500
```

Computed properties:
**Energy of formation from the pure elements**: -265.4 meV/atom

=====

(5)
VASP calculation (PBE) on Pm6NdHoEr2 after structural relaxation.

Cell and atoms, written as CIF:
```
data_Pm6NdHoEr2
_chemical_formula_sum 'Pm24 Nd4 Ho4 Er8'
_cell_length_a 9.293
_cell_length_b 15.205
_cell_length_c 9.605
_cell_angle_alpha 90.00
_cell_angle_beta 96.70
_cell_angle_gamma 90.00
_symmetry_space_group_name_H-M 'C 1 2/c 1'
_symmetry_Int_Tables_number 15
loop_
_symmetry_equiv_pos_as_xyz
'x,y,z'
'-x,-y,-z'
'-x,y,-z+1/2'
'x,-y,z+1/2'
'x+1/2,y+1/2,z'
'-x+1/2,-y+1/2,-z'
'-x+1/2,y+1/2,-z+1/2'
'x+1/2,-y+1/2,z+1/2'
loop_
_atom_site_label
_atom_site_fract_x
_atom_site_fract_y
_atom_site_fract_z
Pm1 0.062 0.178 0.445
Pm2 0.096 0.389 0.617
Pm3 0.215 0.224 0.815
Nd1 0.000 0.030 0.750
Ho1 0.000 0.411 0.250
Er1 0.248 0.451 0.951
```

Computed properties:
**Energy of formation from the pure elements**: 115.6 meV/atom

=====

(6)
VASP calculation (PBE) on Tb2OsCl after structural relaxation.

Cell and atoms, written as CIF:
```
data_Tb2OsCl
_chemical_formula_sum 'Tb2 Os1 Cl1'
_cell_length_a 3.356
_cell_length_b 3.356
_cell_length_c 8.015
_cell_angle_alpha 90.00
_cell_angle_beta 90.00
_cell_angle_gamma 90.00
_symmetry_space_group_name_H-M 'P 4/m m m'
_symmetry_Int_Tables_number 123
_symmetry_space_group_name_Hall '-P 4 2'
loop_
_atom_site_label
_atom_site_fract_x
_atom_site_fract_y
_atom_site_fract_z
Tb1 0.000 0.000 0.213
Os1 0.500 0.500 0.000
Cl1 0.500 0.500 0.500
```

Computed properties:
**Relative energy among the computed polymorphs**: 0.071 eV/atom
**Formation energy without anion corrections**: -0.825 eV/atom

=====

(7)
VASP calculation (PBE) on CoAgAs2Se after structural relaxation.

Cell and atoms, written as CIF:
```
data_CoAgAs2Se
_chemical_formula_sum 'Co1 Ag1 As2 Se1'
_cell_length_a 4.948
_cell_length_b 4.948
_cell_length_c 5.113
_cell_angle_alpha 90.00
_cell_angle_beta 90.00
_cell_angle_gamma 90.00
_symmetry_space_group_name_H-M 'P 4/m m m'
_symmetry_Int_Tables_number 123
_symmetry_space_group_name_Hall '-P 4 2'
loop_
_atom_site_label
_atom_site_fract_x
_atom_site_fract_y
_atom_site_fract_z
Co1 0.000 0.000 0.000
Ag1 0.500 0.500 0.500
As1 0.000 0.500 0.500
Se1 0.500 0.500 0.000
```

Computed properties:
**Relative energy among the computed polymorphs**: 0.907 eV/atom
**Formation energy without anion corrections**: 1.277 eV/atom

=====

(8)
VASP calculation (PBE) on RbOsO4 after structural relaxation.

Cell and atoms, written as CIF:
```
data_RbOsO4
_chemical_formula_sum 'Rb2 Os2 O8'
_cell_length_a 5.308
_cell_length_b 5.308
_cell_length_c 6.617
_cell_angle_alpha 90.00
_cell_angle_beta 90.00
_cell_angle_gamma 90.00
_symmetry_space_group_name_H-M 'P 4/m b m'
_symmetry_Int_Tables_number 127
_symmetry_space_group_name_Hall '-P 4 2ab'
loop_
_atom_site_label
_atom_site_fract_x
_atom_site_fract_y
_atom_site_fract_z
Rb1 0.000 0.500 0.000
Os1 0.000 0.000 0.500
O1 0.000 0.000 0.227
O2 0.185 0.315 0.500
```

Computed properties:
**Formation energy without anion corrections**: -1.155 eV/atom